1.
DFT (PBE) results for crystalline Pr2ErAl4Pt3 at its relaxed geometry.

## Properties
The calculation puts the volume at 211 Å³ per cell. The energy relative to the elements is -0.92 eV per atom. As for the density: 9.0 g cm⁻³. The calculation puts the spin magnetization at 0.000 μB/cell. The calculation puts the final energy at -5.640 eV per atom.

a b c (Å): 4.284 4.284 11.507
angles (deg): 90.00 90.00 90.00
Space group P-4m2 (No. 115)
Unique sites:
1 Pr 0.000 0.500 0.229 (multiplicity 2)
2 Er 0.000 0.000 0.500 (multiplicity 1)
3 Al 0.000 0.000 0.000 (multiplicity 1)
4 Al 0.000 0.500 0.666 (multiplicity 2)
5 Al 0.500 0.500 0.000 (multiplicity 1)
6 Pt 0.000 0.500 0.880 (multiplicity 2)
7 Pt 0.500 0.500 0.500 (multiplicity 1)


2.
DFT (PBE) results for crystalline Pr2ErAl3Pt4 at its relaxed geometry.

## Properties
The calculation puts the volume at 208 Å³ per cell. The energy relative to the elements is -1.07 eV per atom. As for the density: 10.4 g cm⁻³. The calculation puts the spin magnetization at 0.000 μB/cell. The calculation puts the final energy at -6.021 eV per atom.

a b c (Å): 4.381 4.381 10.864
angles (deg): 90.00 90.00 90.00
Space group P-4m2 (No. 115)
Unique sites:
1 Pr 0.000 0.500 0.231 (multiplicity 2)
2 Er 0.000 0.000 0.500 (multiplicity 1)
3 Al 0.000 0.500 0.883 (multiplicity 2)
4 Al 0.500 0.500 0.500 (multiplicity 1)
5 Pt 0.000 0.000 0.000 (multiplicity 1)
6 Pt 0.000 0.500 0.652 (multiplicity 2)
7 Pt 0.500 0.500 0.000 (multiplicity 1)


3.
DFT (PBE) results for crystalline PrErAlRh at its relaxed geometry.

## Properties
The calculation puts the volume at 369 Å³ per cell. The energy relative to the elements is -0.46 eV per atom. As for the density: 7.9 g cm⁻³. The calculation puts the spin magnetization at 0.000 μB/cell. The calculation puts the final energy at -5.572 eV per atom.

a b c (Å): 7.175 7.175 7.175
angles (deg): 90.00 90.00 90.00
Space group F-43m (No. 216)
Unique sites:
1 Pr 0.000 0.000 0.000 (multiplicity 4)
2 Er 0.000 0.000 0.500 (multiplicity 4)
3 Al 0.250 0.250 0.750 (multiplicity 4)
4 Rh 0.250 0.250 0.250 (multiplicity 4)


4.
DFT (PBE) results for crystalline PrErAlSi at its relaxed geometry.

## Properties
The calculation puts the volume at 197 Å³ per cell. As for the density: 6.1 g cm⁻³. Its uncorrected formation energy is -0.60 eV/atom. The calculation puts the spin magnetization at 0.000 μB/cell. The calculation puts the final energy at -5.229 eV per atom.

a b c (Å): 4.032 4.398 11.093
angles (deg): 90.00 90.00 90.00
Space group Amm2 (No. 38)
Unique sites:
1 Pr 0.000 0.000 0.000 (multiplicity 2)
2 Er 0.500 0.000 0.283 (multiplicity 2)
3 Al 0.500 0.000 0.578 (multiplicity 2)
4 Si 0.000 0.000 0.720 (multiplicity 2)


5.
DFT (PBE) results for crystalline TbPrErAl at its relaxed geometry.

## Properties
The calculation puts the volume at 448 Å³ per cell. The energy relative to the elements is -0.06 eV per atom. As for the density: 7.3 g cm⁻³. The calculation puts the spin magnetization at 0.021 μB/cell. The energy above the most stable polymorph in this dataset is 133 meV/atom. The calculation puts the final energy at -4.488 eV per atom.

a b c (Å): 7.654 7.654 7.654
angles (deg): 90.00 90.00 90.00
Space group F-43m (No. 216)
Unique sites:
1 Tb 0.000 0.000 0.000 (multiplicity 4)
2 Pr 0.000 0.000 0.500 (multiplicity 4)
3 Er 0.250 0.250 0.750 (multiplicity 4)
4 Al 0.250 0.250 0.250 (multiplicity 4)


6.
DFT (PBE) results for crystalline TbPrErAl at its relaxed geometry.

## Properties
The calculation puts the volume at 115 Å³ per cell. The energy relative to the elements is -0.19 eV per atom. As for the density: 7.2 g cm⁻³. The calculation puts the spin magnetization at 0.000 μB/cell. The energy above the most stable polymorph in this dataset is 0 meV/atom. The calculation puts the final energy at -4.622 eV per atom.

a b c (Å): 3.542 3.542 9.129
angles (deg): 90.00 90.00 90.00
Space group P4mm (No. 99)
Unique sites:
1 Tb 0.000 0.000 0.000 (multiplicity 1)
2 Pr 0.500 0.500 0.296 (multiplicity 1)
3 Er 0.000 0.000 0.585 (multiplicity 1)
4 Al 0.500 0.500 0.789 (multiplicity 1)


7.
DFT (PBE) results for crystalline PrErAlTl at its relaxed geometry.

## Properties
The calculation puts the volume at 107 Å³ per cell. The energy relative to the elements is -0.36 eV per atom. As for the density: 8.4 g cm⁻³. The calculation puts the spin magnetization at 0.000 μB/cell. The energy above the most stable polymorph in this dataset is 0 meV/atom. The calculation puts the final energy at -4.221 eV per atom.

a b c (Å): 3.714 3.714 7.724
angles (deg): 90.00 90.00 90.00
Space group P4mm (No. 99)
Unique sites:
1 Pr 0.000 0.000 0.000 (multiplicity 1)
2 Er 0.000 0.000 0.472 (multiplicity 1)
3 Al 0.500 0.500 0.251 (multiplicity 1)
4 Tl 0.500 0.500 0.716 (multiplicity 1)


8.
DFT (PBE) results for crystalline PrErAlTl at its relaxed geometry.

## Properties
The calculation puts the volume at 428 Å³ per cell. The energy relative to the elements is -0.32 eV per atom. As for the density: 8.4 g cm⁻³. The calculation puts the spin magnetization at 0.000 μB/cell. The energy above the most stable polymorph in this dataset is 33 meV/atom. The calculation puts the final energy at -4.187 eV per atom.

a b c (Å): 7.539 7.539 7.539
angles (deg): 90.00 90.00 90.00
Space group F-43m (No. 216)
Unique sites:
1 Pr 0.000 0.000 0.000 (multiplicity 4)
2 Er 0.000 0.000 0.500 (multiplicity 4)
3 Al 0.250 0.250 0.250 (multiplicity 4)
4 Tl 0.250 0.250 0.750 (multiplicity 4)


9.
DFT (PBE) results for crystalline PrErTmAl at its relaxed geometry.

## Properties
The calculation puts the volume at 112 Å³ per cell. The energy relative to the elements is -0.20 eV per atom. As for the density: 7.5 g cm⁻³. The calculation puts the spin magnetization at 0.000 μB/cell. The energy above the most stable polymorph in this dataset is 0 meV/atom. The calculation puts the final energy at -4.588 eV per atom.

a b c (Å): 3.524 3.524 9.045
angles (deg): 90.00 90.00 90.00
Space group P4mm (No. 99)
Unique sites:
1 Pr 0.000 0.000 0.000 (multiplicity 1)
2 Er 0.500 0.500 0.706 (multiplicity 1)
3 Tm 0.500 0.500 0.292 (multiplicity 1)
4 Al 0.000 0.000 0.498 (multiplicity 1)


10.
DFT (PBE) results for crystalline PrErTmAl at its relaxed geometry.

## Properties
The calculation puts the volume at 441 Å³ per cell. The energy relative to the elements is -0.06 eV per atom. As for the density: 7.6 g cm⁻³. The calculation puts the spin magnetization at 0.016 μB/cell. The energy above the most stable polymorph in this dataset is 139 meV/atom. The calculation puts the final energy at -4.450 eV per atom.

a b c (Å): 7.610 7.610 7.610
angles (deg): 90.00 90.00 90.00
Space group F-43m (No. 216)
Unique sites:
1 Pr 0.000 0.000 0.000 (multiplicity 4)
2 Er 0.000 0.000 0.500 (multiplicity 4)
3 Tm 0.250 0.250 0.750 (multiplicity 4)
4 Al 0.250 0.250 0.250 (multiplicity 4)


11.
DFT (PBE) results for crystalline PrYErAl at its relaxed geometry.

## Properties
The calculation puts the volume at 114 Å³ per cell. The energy relative to the elements is -0.20 eV per atom. As for the density: 6.2 g cm⁻³. The calculation puts the spin magnetization at 0.000 μB/cell. The energy above the most stable polymorph in this dataset is 0 meV/atom. The calculation puts the final energy at -5.090 eV per atom.

a b c (Å): 3.546 3.546 9.107
angles (deg): 90.00 90.00 90.00
Space group P4mm (No. 99)
Unique sites:
1 Pr 0.000 0.000 0.000 (multiplicity 1)
2 Y 0.500 0.500 0.703 (multiplicity 1)
3 Er 0.500 0.500 0.289 (multiplicity 1)
4 Al 0.000 0.000 0.493 (multiplicity 1)


12.
DFT (PBE) results for crystalline PrYErAl at its relaxed geometry.

## Properties
The calculation puts the volume at 449 Å³ per cell. The energy relative to the elements is -0.06 eV per atom. As for the density: 6.3 g cm⁻³. The calculation puts the spin magnetization at 2.188 μB/cell. The energy above the most stable polymorph in this dataset is 138 meV/atom. The calculation puts the final energy at -4.952 eV per atom.

a b c (Å): 7.658 7.658 7.658
angles (deg): 90.00 90.00 90.00
Space group F-43m (No. 216)
Unique sites:
1 Pr 0.000 0.000 0.000 (multiplicity 4)
2 Y 0.000 0.000 0.500 (multiplicity 4)
3 Er 0.250 0.250 0.750 (multiplicity 4)
4 Al 0.250 0.250 0.250 (multiplicity 4)